Record 1
A relaxed structure of K2TiGeO5. Source: the Alexandria database, functional GGA-PBE.

It has space group Cmc2_1 (No. 36), with a = 3.0907 Å, b = 15.2527 Å, c = 12.1456 Å, α = 90.00°, β = 90.00° and γ = 90.00°. The asymmetric unit holds K at (0.0000, 0.0902, 0.0000), K at (0.0000, 0.1422, 0.6591), Ti at (0.0000, 0.2231, 0.3826), Ge at (0.0000, 0.4371, 0.7707), O at (0.0000, 0.0456, 0.3535), O at (0.0000, 0.2853, 0.9787), O at (0.0000, 0.3195, 0.7686), O at (0.0000, 0.3315, 0.3457) and O at (0.0000, 0.4921, 0.6489).

The calculation puts the formation energy from raw total energies at -2.145 eV per atom. The volume is 15.90 Å³/atom.

Record 2
A relaxed structure of K2Tl2GeO6. Source: the Alexandria database, functional GGA-PBE.

It has space group C2/m (No. 12), with a = 5.7501 Å, b = 9.7655 Å, c = 6.6197 Å, α = 90.00°, β = 107.36° and γ = 90.00°. The asymmetric unit holds K at (0.0000, 0.1705, 0.0000), Tl at (0.0000, 0.3345, 0.5000), Ge at (0.0000, 0.0000, 0.5000), O at (0.2027, 0.1457, 0.6774) and O at (0.2242, 0.0000, 0.3261).

The calculation puts the formation energy from raw total energies at -1.203 eV per atom. The volume is 16.13 Å³/atom.

Record 3
A relaxed structure of KTlGeO4. Source: the Alexandria database, functional GGA-PBE.

It has space group P2_1/m (No. 11), with a = 5.7791 Å, b = 5.9425 Å, c = 7.3725 Å, α = 90.00°, β = 107.23° and γ = 90.00°. The asymmetric unit holds K at (0.1937, 0.2500, 0.4337), Tl at (0.3005, 0.2500, 0.9544), Ge at (0.2356, 0.7500, 0.1608), O at (0.0234, 0.7500, 0.9311), O at (0.0517, 0.7500, 0.3137) and O at (0.4548, 0.5249, 0.1865).

The calculation puts the formation energy from raw total energies at -1.329 eV per atom. The volume is 17.27 Å³/atom.